[1]
# Ac5Sn4Ge | the Alexandria database | PBE | relaxed
# **Formation energy**: -0.51 eV per atom
# **Total energy**: -4.63 eV/atom
# **Total magnetic moment**: 0.000 μB per formula unit
# **Crystal system**: tetragonal
data_Ac5Sn4Ge
_cell_length_a 10.672
_cell_length_b 10.672
_cell_length_c 6.755
_cell_angle_alpha 90.00
_cell_angle_beta 90.00
_cell_angle_gamma 90.00
_space_group_name_H-M_alt 'I 4'
_space_group_IT_number 79
loop_
_space_group_symop_operation_xyz
'x,y,z'
'-y,x,z'
'-x,-y,z'
'y,-x,z'
'x+1/2,y+1/2,z+1/2'
'-y+1/2,x+1/2,z+1/2'
'-x+1/2,-y+1/2,z+1/2'
'y+1/2,-x+1/2,z+1/2'
loop_
_atom_site_label
_atom_site_type_symbol
_atom_site_fract_x
_atom_site_fract_y
_atom_site_fract_z
_atom_site_occupancy
Ac1 Ac 0.000 0.000 0.000 1
Ac2 Ac 0.099 0.717 0.499 1
Sn1 Sn 0.088 0.693 0.999 1
Ge1 Ge 0.000 0.000 0.500 1


[2]
# Ac3SnGe2 | the Alexandria database | PBE | relaxed
# **Formation energy**: -0.49 eV per atom
# **Total energy**: -4.75 eV/atom
# **Total magnetic moment**: 0.000 μB per formula unit
# **Crystal system**: orthorhombic
data_Ac3SnGe2
_cell_length_a 4.832
_cell_length_b 17.384
_cell_length_c 4.530
_cell_angle_alpha 90.00
_cell_angle_beta 90.00
_cell_angle_gamma 90.00
_space_group_name_H-M_alt 'C m m m'
_space_group_IT_number 65
_space_group_name_Hall '-C 2 2'
loop_
_atom_site_label
_atom_site_type_symbol
_atom_site_fract_x
_atom_site_fract_y
_atom_site_fract_z
_atom_site_occupancy
Ac1 Ac 0.000 0.000 0.000 1
Ac2 Ac 0.000 0.173 0.500 1
Sn1 Sn 0.000 0.500 0.500 1
Ge1 Ge 0.000 0.356 0.000 1


[3]
# Ac4Sn3Ge | the Alexandria database | PBE | relaxed
# **Formation energy**: -0.70 eV per atom
# **Total energy**: -4.83 eV/atom
# **Total magnetic moment**: 0.001 μB per formula unit
# **Crystal system**: orthorhombic
data_Ac4Sn3Ge
_cell_length_a 4.512
_cell_length_b 4.968
_cell_length_c 12.252
_cell_angle_alpha 90.00
_cell_angle_beta 90.00
_cell_angle_gamma 90.00
_space_group_name_H-M_alt 'P m m 2'
_space_group_IT_number 25
loop_
_space_group_symop_operation_xyz
'x,y,z'
'-x,-y,z'
'-x,y,z'
'x,-y,z'
loop_
_atom_site_label
_atom_site_type_symbol
_atom_site_fract_x
_atom_site_fract_y
_atom_site_fract_z
_atom_site_occupancy
Ac1 Ac 0.000 0.000 0.000 1
Ac2 Ac 0.000 0.500 0.489 1
Ac3 Ac 0.500 0.000 0.715 1
Ac4 Ac 0.500 0.500 0.220 1
Sn1 Sn 0.000 0.500 0.771 1
Sn2 Sn 0.500 0.000 0.429 1
Sn3 Sn 0.500 0.500 0.939 1
Ge1 Ge 0.000 0.000 0.270 1


[4]
# Ac4Sn2Ge | the Alexandria database | PBE | relaxed
# **Formation energy**: -0.65 eV per atom
# **Total energy**: -4.80 eV/atom
# **Total magnetic moment**: 0.992 μB per formula unit
# **Crystal system**: monoclinic
data_Ac4Sn2Ge
_cell_length_a 12.498
_cell_length_b 4.998
_cell_length_c 9.540
_cell_angle_alpha 90.00
_cell_angle_beta 121.31
_cell_angle_gamma 90.00
_space_group_name_H-M_alt 'C 1 2/m 1'
_space_group_IT_number 12
loop_
_space_group_symop_operation_xyz
'x,y,z'
'-x,-y,-z'
'-x,y,-z'
'x,-y,z'
'x+1/2,y+1/2,z'
'-x+1/2,-y+1/2,-z'
'-x+1/2,y+1/2,-z'
'x+1/2,-y+1/2,z'
loop_
_atom_site_label
_atom_site_type_symbol
_atom_site_fract_x
_atom_site_fract_y
_atom_site_fract_z
_atom_site_occupancy
Ac1 Ac 0.085 0.000 0.372 1
Ac2 Ac 0.179 0.500 0.075 1
Sn1 Sn 0.134 0.500 0.657 1
Ge1 Ge 0.000 0.000 0.000 1


[5]
# Ac6Sn3Ge2 | the Alexandria database | PBE | relaxed
# **Formation energy**: -0.35 eV per atom
# **Total energy**: -4.52 eV/atom
# **Total magnetic moment**: 0.000 μB per formula unit
# **Crystal system**: tetragonal
data_Ac6Sn3Ge2
_cell_length_a 5.986
_cell_length_b 5.986
_cell_length_c 25.288
_cell_angle_alpha 90.00
_cell_angle_beta 90.00
_cell_angle_gamma 90.00
_space_group_name_H-M_alt 'I 4/m m m'
_space_group_IT_number 139
_space_group_name_Hall '-I 4 2'
loop_
_atom_site_label
_atom_site_type_symbol
_atom_site_fract_x
_atom_site_fract_y
_atom_site_fract_z
_atom_site_occupancy
Ac1 Ac 0.000 0.000 0.208 1
Ac2 Ac 0.000 0.500 0.082 1
Sn1 Sn 0.000 0.000 0.339 1
Sn2 Sn 0.000 0.000 0.500 1
Ge1 Ge 0.000 0.000 0.091 1


[6]
# Ac3SnGe | the Alexandria database | PBE | relaxed
# **Formation energy**: -0.29 eV per atom
# **Total energy**: -4.48 eV/atom
# **Total magnetic moment**: 0.000 μB per formula unit
# **Crystal system**: cubic
data_Ac3SnGe
_cell_length_a 5.953
_cell_length_b 5.953
_cell_length_c 5.953
_cell_angle_alpha 90.00
_cell_angle_beta 90.00
_cell_angle_gamma 90.00
_space_group_name_H-M_alt 'P m -3 m'
_space_group_IT_number 221
_space_group_name_Hall '-P 4 2 3'
loop_
_atom_site_label
_atom_site_type_symbol
_atom_site_fract_x
_atom_site_fract_y
_atom_site_fract_z
_atom_site_occupancy
Ac1 Ac 0.000 0.000 0.500 1
Sn1 Sn 0.500 0.500 0.500 1
Ge1 Ge 0.000 0.000 0.000 1


Which value of total energy does entry 4 give? -4.80 eV/atom


Which of these has the highest total magnetic moment? Ac4Sn2Ge


Please write out number 2 again, unchanged.
# Ac3SnGe2 | the Alexandria database | PBE | relaxed
# **Formation energy**: -0.49 eV per atom
# **Total energy**: -4.75 eV/atom
# **Total magnetic moment**: 0.000 μB per formula unit
# **Crystal system**: orthorhombic
data_Ac3SnGe2
_cell_length_a 4.832
_cell_length_b 17.384
_cell_length_c 4.530
_cell_angle_alpha 90.00
_cell_angle_beta 90.00
_cell_angle_gamma 90.00
_space_group_name_H-M_alt 'C m m m'
_space_group_IT_number 65
_space_group_name_Hall '-C 2 2'
loop_
_atom_site_label
_atom_site_type_symbol
_atom_site_fract_x
_atom_site_fract_y
_atom_site_fract_z
_atom_site_occupancy
Ac1 Ac 0.000 0.000 0.000 1
Ac2 Ac 0.000 0.173 0.500 1
Sn1 Sn 0.000 0.500 0.500 1
Ge1 Ge 0.000 0.356 0.000 1